ZnGaTe2S: optimized geometry, PBE.

It has space group P4/mmm (No. 123), with a = 5.482 Å, b = 5.482 Å, c = 4.578 Å, α = 90.00°, β = 90.00° and γ = 90.00°. The distinct sites, in fractional coordinates, are Zn at (0.000, 0.000, 0.000), Ga at (0.500, 0.500, 0.500), Te at (0.000, 0.500, 0.500) and S at (0.500, 0.500, 0.000).

For the total energy, the calculation gives -12.79 eV per formula unit. Its crystal system is tetragonal. The calculation puts the total magnetic moment at 0.000 μB/atom. Its density of states at the Fermi level is 4.72 states/eV per cell.